No. 1
La2SmNi3Pt6 after structural relaxation, computed with PBE.

Unit cell a=9.042 b=9.042 c=9.042 alpha=35.03 beta=35.03 gamma=35.03
Fractional positions:
La  0.140  0.140  0.140
La  0.860  0.860  0.860
Sm  0.000  0.000  0.000
Ni  0.333  0.333  0.333
Ni  0.500  0.500  0.500
Ni  0.667  0.667  0.667
Pt  0.081  0.581  0.581
Pt  0.419  0.419  0.919
Pt  0.419  0.919  0.419
Pt  0.581  0.081  0.581
Pt  0.581  0.581  0.081
Pt  0.919  0.419  0.419

Properties
formation energy from the elements	-0.796	eV/atom

=====

No. 2
Ho3Ga3GePd2 after structural relaxation, computed with PBE.

Unit cell a=7.433 b=7.433 c=3.769 alpha=90.00 beta=90.00 gamma=120.00
Fractional positions:
Ho  0.000  0.396  0.000
Ho  0.396  0.000  0.000
Ho  0.604  0.604  0.000
Ga  0.000  0.731  0.500
Ga  0.269  0.269  0.500
Ga  0.731  0.000  0.500
Ge  0.000  0.000  0.000
Pd  0.333  0.667  0.500
Pd  0.667  0.333  0.500

Properties
excess energy over the best structure of this formula in the dataset	0	meV per atom

=====

What did the first record say?
La2SmNi3Pt6 after structural relaxation, computed with PBE.

Unit cell a=9.042 b=9.042 c=9.042 alpha=35.03 beta=35.03 gamma=35.03
Fractional positions:
La  0.140  0.140  0.140
La  0.860  0.860  0.860
Sm  0.000  0.000  0.000
Ni  0.333  0.333  0.333
Ni  0.500  0.500  0.500
Ni  0.667  0.667  0.667
Pt  0.081  0.581  0.581
Pt  0.419  0.419  0.919
Pt  0.419  0.919  0.419
Pt  0.581  0.081  0.581
Pt  0.581  0.581  0.081
Pt  0.919  0.419  0.419

Properties
formation energy from the elements	-0.796	eV/atom

=====

Please write out number 2 again, unchanged.
Ho3Ga3GePd2 after structural relaxation, computed with PBE.

Unit cell a=7.433 b=7.433 c=3.769 alpha=90.00 beta=90.00 gamma=120.00
Fractional positions:
Ho  0.000  0.396  0.000
Ho  0.396  0.000  0.000
Ho  0.604  0.604  0.000
Ga  0.000  0.731  0.500
Ga  0.269  0.269  0.500
Ga  0.731  0.000  0.500
Ge  0.000  0.000  0.000
Pd  0.333  0.667  0.500
Pd  0.667  0.333  0.500

Properties
excess energy over the best structure of this formula in the dataset	0	meV per atom